This record from Alexandria describes a geometry-optimized Pr5Te2C structure. The functional is PBE-GGA.

Lattice parameters (Å, degrees): 5.9278 6.7026 14.7144 90.00 90.00 116.24
With the nearest neighbours (Å) after each atom.
Positions (direct):
Pr: 0.6322 0.2645 0.6268  1 C 2.49
Te: 0.8145 0.6290 0.4458  6 Pr 3.13-3.45
Pr: 0.2888 0.5776 0.7500  2 C 2.97, 2 Te 3.14
Pr: 0.9329 0.8657 0.6356  1 C 2.55
Pr: 0.7112 0.4224 0.2500  2 C 2.97, 2 Te 3.14
Pr: 0.0671 0.1343 0.3644  1 C 2.55
Te: 0.1855 0.3710 0.5542  6 Pr 3.13-3.45
Te: 0.1855 0.3710 0.9458  6 Pr 3.13-3.45
Pr: 0.3678 0.7355 0.1268  1 C 2.49
Pr: 0.9329 0.8657 0.8644  1 C 2.55
Pr: 0.3678 0.7355 0.3732  1 C 2.49
C: 0.2264 0.4528 0.2500  4 Pr 2.49-2.55
Te: 0.8145 0.6290 0.0542  6 Pr 3.13-3.45
Pr: 0.6322 0.2645 0.8732  1 C 2.49
Pr: 0.0671 0.1343 0.1356  1 C 2.55
C: 0.7736 0.5472 0.7500  4 Pr 2.49-2.55

Values from the calculation:
energy relative to the elements, uncorrected = -0.57 eV/atom
size of the total moment = 0.000 μB per atom